Material: Ba2CoPdO5
Method: DFT, PBE+U
State: relaxed

## Properties
- Calculated total energy: -5.816 eV/atom
- N(E_F): 0.369 states/eV/atom
- M_tot: 2.3 μB/f.u.

```
Ba2CoPdO5
1.0
-3.5412 -0.7750 -0.6469
3.4681 -7.0326 -0.0803
-1.6306 -0.9186 10.0268
O Pd Ba Co
10 2 4 2
Direct
0.9202 0.8404 0.5055
0.0798 0.1596 0.0055
0.7100 0.4199 0.8803
0.2900 0.5801 0.3803
0.3477 0.6954 0.0094
0.4835 0.9670 0.3139
0.3119 0.6239 0.6245
0.6881 0.3761 0.1245
0.6523 0.3046 0.5094
0.5165 0.0330 0.8139
0.2152 0.4303 0.0087
0.7848 0.5697 0.5087
0.8850 0.7699 0.8143
0.1341 0.2683 0.6999
0.8659 0.7317 0.1999
0.1150 0.2301 0.3143
0.4193 0.8385 0.4674
0.5807 0.1615 0.9674
```